A geometry-optimized DyWF6 structure. Source: Alexandria via LeMat-Bulk, functional PBE+U.

Calculated total energy, eV per atom: -6.252
Total magnetic moment, μB/f.u.: 3.0

Cell: 5.9322 5.9335 6.0748 Å, 60.82 60.82 60.06°
Positions (direct):
Dy  0.0000  0.0000  0.0000
W  0.5000  0.5000  0.5000
F  0.1984  0.7455  0.7465
F  0.2557  0.6908  0.2529
F  0.3088  0.1996  0.7455
F  0.6912  0.8004  0.2545
F  0.7443  0.3092  0.7471
F  0.8016  0.2545  0.2535